PaReF2 GGA-PBE relaxed; total DFT energy (no corrections) = -7.3381 eV/atom; DOS at the Fermi energy = 4.21 states/eV/f.u.
1.0
-1.702 0.302 -2.413
-2.152 -1.968 -0.554
-6.469 3.925 3.230
F Pa Re
2 1 1
direct
0.090 0.090 0.731
0.910 0.910 0.269
0.500 0.500 0.500
0.000 0.000 0.000